Density functional theory data (PBE-GGA) for a geometry-optimized La8Ir3NCl3 structure.

The space group is C2/m (No. 12) and the conventional cell measures 14.356, 8.213 and 8.845 Å, with angles of 90.00, 122.57 and 90.00 degrees. The asymmetric unit holds La at (0.012, 0.234, 0.302), La at (0.227, 0.000, 0.700), La at (0.237, 0.500, 0.710), Ir at (0.000, 0.500, 0.500), Ir at (0.250, 0.250, 0.500), N at (0.000, 0.000, 0.500), Cl at (0.000, 0.000, 0.000) and Cl at (0.250, 0.250, 0.000).

The value obtained for the uncorrected formation energy is -1.1587 eV/atom.

=====

Density functional theory data (PBE-GGA) for a geometry-optimized LaNdIrCl structure.

The space group is R3m (No. 160, hexagonal axes) and the conventional cell measures 4.1454, 4.1454 and 23.3086 Å, with angles of 90.00, 90.00 and 120.00 degrees. The asymmetric unit holds La at (0.0000, 0.0000, 0.0000), Nd at (0.0000, 0.0000, 0.2006), Ir at (0.0000, 0.0000, 0.6010) and Cl at (0.0000, 0.0000, 0.7731).

The value obtained for the uncorrected formation energy is -1.2323 eV/atom.

=====

Density functional theory data (PBE-GGA) for a geometry-optimized La6Ni2IrCl3 structure.

The space group is C2/m (No. 12) and the conventional cell measures 7.173, 12.445 and 7.980 Å, with angles of 90.00, 107.37 and 90.00 degrees. The asymmetric unit holds La at (0.234, 0.000, 0.204), La at (0.235, 0.333, 0.204), Ni at (0.000, 0.167, 0.000), Ir at (0.000, 0.500, 0.000), Cl at (0.000, 0.000, 0.500) and Cl at (0.000, 0.332, 0.500).

The value obtained for the uncorrected formation energy is -1.1017 eV/atom.

=====

Question: What is the formula in the first record?
Answer: La8Ir3NCl3